4
Lattice="-2.3235 -1.2953 2.1009 -0.5594 -3.9621 -3.0614 5.1156 0.1254 3.0005" Properties=species:S:1:pos:R:3 comment="SrCd2Ni GGA-PBEsol relaxed" delta_e_f_mev_per_atom=-8 density_g_cm3=7.06 pbc="T T T"
Sr -1.1617 -0.6476 1.0504
Cd 0.0478 -3.6417 0.5422
Cd 2.1850 -1.4901 1.4978
Ni -0.2797 -1.9810 -1.5307